Record 1
DFT (PBE) results for an optimized crystal structure of K2RbBaCl.

```
K2RbBaCl
1.0
6.5460 0.0000 0.0000
0.0000 6.5460 0.0000
0.0000 0.0000 6.7820
K Ba Rb Cl
2 1 1 1
direct
0.0000 0.5000 0.0000
0.5000 0.0000 0.0000
0.5000 0.5000 0.5000
0.0000 0.0000 0.5000
0.0000 0.0000 0.0000
```

**Formation energy from raw total energies**: -0.57 eV per atom
**Energy above the lowest structure with this stoichiometry**: 71 meV/atom
**Space group**: P4/mmm, No. 123

---

Record 2
DFT (PBE) results for an optimized crystal structure of TaGe3Os.

```
TaGe3Os
1.0
-2.7838 3.7497 -0.9354
-3.7806 -2.4032 1.6175
0.8015 1.6879 4.3810
Ge Os Ta
3 1 1
direct
0.0000 0.5000 0.0000
0.0000 0.0000 0.5000
0.5000 0.0000 0.0000
0.0000 0.0000 0.0000
0.5000 0.5000 0.5000
```

**Energy of formation from the pure elements**: 5.684 eV per formula unit
**Space group**: Pm-3m, No. 221

---

Record 3
DFT (PBE) results for an optimized crystal structure of KTbMgBr6.

```
KTbMgBr6
1.0
-6.2666 3.3033 -1.1710
0.2365 -7.1538 0.5668
-2.1243 1.0696 14.3852
K Tb Mg Br
2 2 2 12
direct
0.0000 0.0000 0.0000
0.0000 0.0000 0.5000
0.6667 0.3333 0.2500
0.3333 0.6667 0.7500
0.3333 0.6667 0.2500
0.6667 0.3333 0.7500
0.6224 0.6346 0.1410
0.0122 0.3776 0.1410
0.3776 0.0122 0.6410
0.9878 0.6224 0.8590
0.3654 0.3776 0.3590
0.0122 0.6346 0.3590
0.6346 0.0122 0.8590
0.6224 0.9878 0.3590
0.9878 0.3654 0.6410
0.3654 0.9878 0.1410
0.6346 0.6224 0.6410
0.3776 0.3654 0.8590
```

**Formation energy from raw total energies**: -1.73 eV per atom
**Space group**: P-31c, No. 163

---

Record 4
DFT (PBE) results for an optimized crystal structure of Cd2SiMo.

```
Cd2SiMo
1.0
10.6534 0.1890 0.1108
10.2168 3.0245 0.1108
10.2168 1.5731 2.5856
Cd Mo Si
2 1 1
direct
0.9963 0.9963 0.9963
0.5037 0.5037 0.5037
0.2500 0.2500 0.2500
0.7500 0.7500 0.7500
```

**Formation energy from raw total energies**: 0.53 eV per atom
**Space group**: R-3m, No. 166

---

Record 5
DFT (PBE) results for an optimized crystal structure of SmHfRu2.

```
SmHfRu2
1.0
-0.8930 -3.1940 -0.2114
2.9767 -0.9093 1.1646
-2.4199 0.2541 6.3834
Ru Hf Sm
2 1 1
direct
0.0000 0.0000 0.7753
0.0000 0.0000 0.2247
0.5000 0.5000 0.0000
0.5000 0.5000 0.5000
```

**Energy of formation from the pure elements**: -1.932 eV per formula unit
**Space group**: P4/mmm, No. 123

---

Record 6
DFT (PBE) results for an optimized crystal structure of Li3AcPb4.

```
Li3AcPb4
1.0
-2.3484 -3.3677 3.9276
4.1070 -1.6792 3.5489
-1.2919 5.9006 4.2870
Pb Ac Li
4 1 3
direct
0.0000 0.5000 0.2141
0.0000 0.5000 0.7859
0.5000 0.0000 0.7859
0.5000 0.0000 0.2141
0.0000 0.0000 0.5000
0.0000 0.0000 0.0000
0.5000 0.5000 0.2143
0.5000 0.5000 0.7857
```

**Energy of formation from the pure elements**: -1.805 eV per formula unit
**Space group**: Cmmm, No. 65